A plane-wave DFT calculation with PBE-GGA was carried out for a relaxed HgSbI3 crystal.

a = 7.6269 Å, b = 7.6269 Å, c = 11.1056 Å
α = 69.92°, β = 69.92°, γ = 60.00°
With the nearest neighbours (Å) after each atom.
Positions (direct):
Hg  0.3375  0.3375  0.9876  6 I 4.16-4.24, 3 Hg 4.41
Hg  0.6625  0.6625  0.0125  6 I 4.15-4.24, 3 Hg 4.41
Sb  0.1664  0.1664  0.5008  6 I 3.05-3.07
Sb  0.8336  0.8336  0.4992  6 I 3.05-3.07
I  0.0914  0.4397  0.6758  2 Sb 3.05-3.07
I  0.7931  0.0914  0.6758  2 Sb 3.05-3.07
I  0.5603  0.2069  0.3242  2 Sb 3.05-3.07
I  0.2069  0.9086  0.3242  2 Sb 3.05-3.07
I  0.9086  0.5603  0.3242  2 Sb 3.05-3.07
I  0.4397  0.7931  0.6758  2 Sb 3.05-3.07

Values from the calculation:
The calculation puts the energy relative to the lowest polymorph listed for this composition at 0 meV per atom. As for the space group: No. 148. Its total energy is -2.063 eV/atom. As for the formation energy from raw total energies: -249 meV/atom.

A plane-wave DFT calculation with PBE-GGA was carried out for a relaxed Hg5Sb2I5 crystal.

a = 8.7526 Å, b = 11.2843 Å, c = 8.4236 Å
α = 66.74°, β = 82.12°, γ = 47.68°
With the nearest neighbours (Å) after each atom.
Positions (direct):
Hg  0.9054  0.5834  0.4166  2 Sb 2.83, 1 Hg 3.13
Hg  0.8218  0.2687  0.7313  1 I 2.75, 1 Sb 2.76
Hg  0.3303  0.5285  0.1283  1 Sb 2.80, 1 I 2.81
Hg  0.6402  0.9301  0.0699  1 Hg 3.13
Hg  0.9871  0.8717  0.4715  1 Sb 2.80, 1 I 2.81
Sb  0.2565  0.5421  0.4579  3 Hg 2.80-2.83, 1 Sb 3.13
Sb  0.5897  0.5734  0.4266  2 Hg 2.76-2.83, 2 I 3.02
I  0.3168  0.4169  0.8894  1 Hg 2.81
I  0.7841  0.3897  0.1817  1 Sb 3.02, 1 Hg 3.16
I  0.3555  0.8183  0.6103  1 Sb 3.02, 1 Hg 3.16
I  0.6232  0.1106  0.5831  1 Hg 2.81
I  0.0822  0.9666  0.0334  1 Hg 2.75

Values from the calculation:
As for the space group: No. 8. Its total energy is -1.581 eV/atom. As for the formation energy from raw total energies: -123 meV/atom.

A plane-wave DFT calculation with PBE-GGA was carried out for a relaxed Hg2Sb2I crystal.

a = 7.2380 Å, b = 5.1107 Å, c = 15.8708 Å
α = 99.13°, β = 90.00°, γ = 135.08°
With the nearest neighbours (Å) after each atom.
Positions (direct):
Hg  0.5596  0.3739  0.6227  2 Sb 2.81
Hg  0.1857  0.6261  0.8773  2 Sb 2.81
Hg  0.4404  0.6261  0.3773  2 Sb 2.81
Hg  0.8143  0.3739  0.1227  2 Sb 2.81
Sb  0.7738  0.7963  0.0472  2 Hg 2.81, 2 Sb 2.94-2.95
Sb  0.9776  0.2037  0.4528  2 Hg 2.81, 2 Sb 2.94-2.95
Sb  0.2262  0.2037  0.9528  2 Hg 2.81, 2 Sb 2.94-2.95
Sb  0.0224  0.7963  0.5472  2 Hg 2.81, 2 Sb 2.94-2.95
I  0.6241  0.0000  0.7500  4 Hg 3.22-3.23
I  0.3759  0.0000  0.2500  4 Hg 3.22-3.23

Values from the calculation:
The calculation puts the energy relative to the lowest polymorph listed for this composition at 0 meV per atom. As for the space group: No. 15. Its total energy is -2.099 eV/atom. As for the formation energy from raw total energies: -19 meV/atom.

A plane-wave DFT calculation with PBE-GGA was carried out for a relaxed Hg12Sb5I3 crystal.

a = 15.6761 Å, b = 15.6761 Å, c = 15.6761 Å
α = 109.47°, β = 109.47°, γ = 109.47°
With the nearest neighbours (Å) after each atom.
Positions (direct):
I  0.7500  0.3750  0.1250  4 Hg 3.33
I  0.8750  0.7500  0.1250  4 Hg 3.33
I  0.3750  0.7500  0.6250  4 Hg 3.33
I  0.2500  0.1250  0.3750  4 Hg 3.33
I  0.8750  0.1250  0.2500  4 Hg 3.33
I  0.3750  0.6250  0.2500  4 Hg 3.33
I  0.6250  0.3750  0.7500  4 Hg 3.33
I  0.1250  0.8750  0.7500  4 Hg 3.33
I  0.7500  0.8750  0.6250  4 Hg 3.33
I  0.6250  0.2500  0.3750  4 Hg 3.33
I  0.1250  0.2500  0.8750  4 Hg 3.33
I  0.2500  0.6250  0.8750  4 Hg 3.33
Sb  0.1250  0.3750  0.2500  4 Hg 2.84
Sb  0.0000  0.5000  0.0000  6 Hg 2.91
Sb  0.0000  0.0000  0.0000  6 Hg 2.91
Sb  0.3750  0.2500  0.1250  4 Hg 2.84
Sb  0.5000  0.0000  0.5000  6 Hg 2.91
Sb  0.5000  0.5000  0.0000  6 Hg 2.91
Sb  0.1250  0.7500  0.3750  4 Hg 2.84
Sb  0.7500  0.1250  0.8750  4 Hg 2.84
Sb  0.7500  0.6250  0.3750  4 Hg 2.84
Sb  0.3750  0.1250  0.7500  4 Hg 2.84
Sb  0.6250  0.8750  0.2500  4 Hg 2.84
Sb  0.5000  0.5000  0.5000  6 Hg 2.91
Sb  0.5000  0.0000  0.0000  6 Hg 2.91
Sb  0.0000  0.0000  0.5000  6 Hg 2.91
Sb  0.2500  0.3750  0.6250  4 Hg 2.84
Sb  0.2500  0.8750  0.1250  4 Hg 2.84
Sb  0.0000  0.5000  0.5000  6 Hg 2.91
Sb  0.8750  0.2500  0.6250  4 Hg 2.84
Sb  0.6250  0.7500  0.8750  4 Hg 2.84
Sb  0.8750  0.6250  0.7500  4 Hg 2.84
Hg  0.7067  0.0805  0.0219  2 Sb 2.84-2.91
Hg  0.3152  0.5219  0.4414  2 Sb 2.84-2.91
Hg  0.9781  0.4195  0.2933  2 Sb 2.84-2.91
Hg  0.5219  0.2067  0.0805  2 Sb 2.84-2.91
Hg  0.6262  0.7067  0.6848  2 Sb 2.84-2.91
Hg  0.9781  0.5586  0.1848  2 Sb 2.84-2.91
Hg  0.3152  0.7933  0.3738  2 Sb 2.84-2.91
Hg  0.0586  0.8738  0.0805  2 Sb 2.84-2.91
Hg  0.5586  0.9781  0.6848  2 Sb 2.84-2.91
Hg  0.7067  0.6262  0.1848  2 Sb 2.84-2.91
Hg  0.7933  0.4781  0.4195  2 Sb 2.84-2.91
Hg  0.8152  0.9414  0.0219  2 Sb 2.84-2.91
Hg  0.0805  0.7067  0.5219  2 Sb 2.84-2.91
Hg  0.4195  0.4414  0.1262  2 Sb 2.84-2.91
Hg  0.1262  0.9414  0.4195  2 Sb 2.84-2.91
Hg  0.3738  0.0805  0.5586  2 Sb 2.84-2.91
Hg  0.1262  0.1848  0.2067  2 Sb 2.84-2.91
Hg  0.4781  0.6848  0.0586  2 Sb 2.84-2.91
Hg  0.8152  0.8738  0.2933  2 Sb 2.84-2.91
Hg  0.0805  0.3738  0.0586  2 Sb 2.84-2.91
Hg  0.4195  0.9781  0.7933  2 Sb 2.84-2.91
Hg  0.5586  0.5805  0.3738  2 Sb 2.84-2.91
Hg  0.9414  0.8152  0.5219  2 Sb 2.84-2.91
Hg  0.7933  0.3152  0.8738  2 Sb 2.84-2.91
Hg  0.4414  0.4195  0.6262  2 Sb 2.84-2.91
Hg  0.0586  0.1848  0.4781  2 Sb 2.84-2.91
Hg  0.2067  0.6848  0.1262  2 Sb 2.84-2.91
Hg  0.1848  0.1262  0.7067  2 Sb 2.84-2.91
Hg  0.5805  0.0219  0.2067  2 Sb 2.84-2.91
Hg  0.9195  0.6262  0.9414  2 Sb 2.84-2.91
Hg  0.5219  0.3152  0.9414  2 Sb 2.84-2.91
Hg  0.6262  0.9195  0.4414  2 Sb 2.84-2.91
Hg  0.8738  0.8152  0.7933  2 Sb 2.84-2.91
Hg  0.8738  0.0586  0.5805  2 Sb 2.84-2.91
Hg  0.9195  0.2933  0.4781  2 Sb 2.84-2.91
Hg  0.1848  0.0586  0.9781  2 Sb 2.84-2.91
Hg  0.5805  0.5586  0.8738  2 Sb 2.84-2.91
Hg  0.4414  0.0219  0.3152  2 Sb 2.84-2.91
Hg  0.2933  0.3738  0.8152  2 Sb 2.84-2.91
Hg  0.2067  0.5219  0.5805  2 Sb 2.84-2.91
Hg  0.9414  0.1262  0.9195  2 Sb 2.84-2.91
Hg  0.6848  0.2067  0.6262  2 Sb 2.84-2.91
Hg  0.4781  0.7933  0.9195  2 Sb 2.84-2.91
Hg  0.0219  0.4414  0.8152  2 Sb 2.84-2.91
Hg  0.3738  0.2933  0.3152  2 Sb 2.84-2.91
Hg  0.0219  0.5805  0.7067  2 Sb 2.84-2.91
Hg  0.6848  0.4781  0.5586  2 Sb 2.84-2.91
Hg  0.2933  0.9195  0.9781  2 Sb 2.84-2.91

Values from the calculation:
As for the space group: No. 230. Its total energy is -1.374 eV/atom. As for the formation energy from raw total energies: 70 meV/atom.

A plane-wave DFT calculation with PBE-GGA was carried out for a relaxed Hg4SbI crystal.

a = 6.8862 Å, b = 9.5864 Å, c = 7.9268 Å
α = 127.21°, β = 101.52°, γ = 90.00°
With the nearest neighbours (Å) after each atom.
Positions (direct):
Hg  0.3561  0.7225  0.4449  1 Sb 2.82, 2 Hg 2.87
Hg  0.3685  0.0981  0.7597  2 Hg 2.87-3.12
Hg  0.0000  0.2138  0.0000  2 Sb 3.11, 2 I 3.18, 2 Hg 3.27
Hg  0.6315  0.3385  0.2403  2 Hg 2.87-3.12
Hg  0.6439  0.2775  0.5551  1 Sb 2.82, 2 Hg 2.87
Hg  0.6315  0.9019  0.2403  2 Hg 2.87-3.12
Hg  0.0000  0.7862  0.0000  2 Sb 3.11, 2 I 3.18, 2 Hg 3.27
Hg  0.3685  0.6615  0.7597  2 Hg 2.87-3.12
Sb  0.2091  0.4929  0.9859  3 Hg 2.82-3.11, 1 Sb 2.93
Sb  0.7909  0.5071  0.0141  3 Hg 2.82-3.11, 1 Sb 2.93
I  0.8693  0.8025  0.6049  3 Hg 3.18-3.42
I  0.1307  0.1975  0.3951  3 Hg 3.18-3.42

Values from the calculation:
The calculation puts the energy relative to the lowest polymorph listed for this composition at 33 meV per atom. As for the space group: No. 12. Its total energy is -1.137 eV/atom. As for the formation energy from raw total energies: 10 meV/atom.

A plane-wave DFT calculation with PBE-GGA was carried out for a relaxed Hg3Sb2I2 crystal.

a = 4.9638 Å, b = 6.9517 Å, c = 11.1694 Å
α = 108.28°, β = 108.88°, γ = 115.41°
With the nearest neighbours (Å) after each atom.
Positions (direct):
Hg  0.0000  0.0000  0.0000  2 Sb 2.81
Hg  0.9264  0.6507  0.3297  1 Sb 2.73, 1 I 2.79
Hg  0.0736  0.3493  0.6703  1 Sb 2.73, 1 I 2.79
Sb  0.6166  0.3543  0.0300  2 Hg 2.73-2.81, 1 Sb 2.87
Sb  0.3834  0.6457  0.9700  2 Hg 2.73-2.81, 1 Sb 2.87
I  0.2746  0.9077  0.6398  1 Hg 2.79
I  0.7254  0.0923  0.3602  1 Hg 2.79

Values from the calculation:
The calculation puts the energy relative to the lowest polymorph listed for this composition at 0 meV per atom. As for the space group: No. 2. Its total energy is -1.889 eV/atom. As for the formation energy from raw total energies: -139 meV/atom.